A plane-wave DFT calculation with SCAN was carried out for ScB2I at its PBEsol-relaxed geometry.

## Properties
DFT total energy ... -61.3 eV per formula unit

Cell: 5.658 5.658 5.658 Å, 115.47 115.47 98.04°
Positions (direct):
Sc1 0.000 0.000 0.000
Sc2 0.750 0.250 0.500
B1 0.153 0.625 0.028
B2 0.375 0.403 0.528
B3 0.597 0.125 0.972
B4 0.875 0.847 0.472
I1 0.250 0.750 0.500
I2 0.500 0.500 0.000